No. 1
DFT (PBE-GGA) results for Li2MgAl after structural relaxation.

The structure in CIF format:
```
data_Li2MgAl
_chemical_formula_sum 'Li2 Mg1 Al1'
_cell_length_a 5.3915
_cell_length_b 5.3915
_cell_length_c 5.3915
_cell_angle_alpha 144.65
_cell_angle_beta 128.32
_cell_angle_gamma 64.17
_symmetry_space_group_name_H-M 'P 1'
_symmetry_Int_Tables_number 1
_symmetry_space_group_name_Hall 'P 1'
loop_
_atom_site_label
_atom_site_type_symbol
_atom_site_fract_x
_atom_site_fract_y
_atom_site_fract_z
_atom_site_occupancy
Li1 Li 0.0000 0.0000 0.0000 1
Li2 Li 0.7594 0.2594 0.5000 1
Mg1 Mg 0.5022 0.5022 0.0000 1
Al1 Al 0.2394 0.7394 0.5000 1
```

For the formation energy, the calculation gives -0.092 eV/atom. The calculation puts the density at 1.5 g/cm3. The symmetry is Imm2. The calculation puts the energy at -2.383 eV per atom.

---

No. 2
DFT (PBE-GGA) results for Li2Mg3Al9 after structural relaxation.

The structure in CIF format:
```
data_Li2Mg3Al9
_chemical_formula_sum 'Li2 Mg3 Al9'
_cell_length_a 7.9878
_cell_length_b 7.9878
_cell_length_c 7.9878
_cell_angle_alpha 147.95
_cell_angle_beta 101.61
_cell_angle_gamma 87.20
_symmetry_space_group_name_H-M 'P 1'
_symmetry_Int_Tables_number 1
_symmetry_space_group_name_Hall 'P 1'
loop_
_atom_site_label
_atom_site_type_symbol
_atom_site_fract_x
_atom_site_fract_y
_atom_site_fract_z
_atom_site_occupancy
Li1 Li 0.1507 0.0000 0.1507 1
Li2 Li 0.8493 0.0000 0.8493 1
Mg1 Mg 0.2196 0.2196 0.0000 1
Mg2 Mg 0.5000 0.5000 0.0000 1
Mg3 Mg 0.7804 0.7804 0.0000 1
Al1 Al 0.0000 0.5000 0.5000 1
Al2 Al 0.0644 0.3467 0.7176 1
Al3 Al 0.2444 0.8738 0.3705 1
Al4 Al 0.3709 0.6533 0.7176 1
Al5 Al 0.4967 0.1262 0.3705 1
Al6 Al 0.5033 0.8738 0.6295 1
Al7 Al 0.6291 0.3467 0.2824 1
Al8 Al 0.7556 0.1262 0.6295 1
Al9 Al 0.9356 0.6533 0.2824 1
```

For the formation energy, the calculation gives 0.001 eV/atom. The calculation puts the density at 2.1 g/cm3. The symmetry is Immm. The calculation puts the energy at -3.020 eV per atom.

---

No. 3
DFT (PBE-GGA) results for Li3MgAl after structural relaxation.

The structure in CIF format:
```
data_Li3MgAl
_chemical_formula_sum 'Li3 Mg1 Al1'
_cell_length_a 4.9019
_cell_length_b 4.9019
_cell_length_c 4.9019
_cell_angle_alpha 90.00
_cell_angle_beta 90.00
_cell_angle_gamma 90.00
_symmetry_space_group_name_H-M 'P 1'
_symmetry_Int_Tables_number 1
_symmetry_space_group_name_Hall 'P 1'
loop_
_atom_site_label
_atom_site_type_symbol
_atom_site_fract_x
_atom_site_fract_y
_atom_site_fract_z
_atom_site_occupancy
Li1 Li 0.0000 0.0000 0.5000 1
Li2 Li 0.0000 0.5000 0.0000 1
Li3 Li 0.5000 0.0000 0.0000 1
Mg1 Mg 0.5000 0.5000 0.5000 1
Al1 Al 0.0000 0.0000 0.0000 1
```

For the formation energy, the calculation gives 0.345 eV/atom. The calculation puts the density at 1.0 g/cm3. Its excess energy over the best structure of this formula in the dataset is 378 meV/atom. The symmetry is Pm-3m. The calculation puts the energy at -1.871 eV per atom.

---

No. 4
DFT (PBE-GGA) results for Li3Mg10Al3 after structural relaxation.

The structure in CIF format:
```
data_Li3Mg10Al3
_chemical_formula_sum 'Li3 Mg10 Al3'
_cell_length_a 8.2686
_cell_length_b 8.2686
_cell_length_c 5.7040
_cell_angle_alpha 90.00
_cell_angle_beta 90.00
_cell_angle_gamma 120.00
_symmetry_space_group_name_H-M 'P 1'
_symmetry_Int_Tables_number 1
_symmetry_space_group_name_Hall 'P 1'
loop_
_atom_site_label
_atom_site_type_symbol
_atom_site_fract_x
_atom_site_fract_y
_atom_site_fract_z
_atom_site_occupancy
Li1 Li 0.0000 0.4180 0.0000 1
Li2 Li 0.4180 0.0000 0.0000 1
Li3 Li 0.5820 0.5820 0.0000 1
Mg1 Mg 0.0000 0.2477 0.5000 1
Mg2 Mg 0.0000 0.7685 0.0000 1
Mg3 Mg 0.2315 0.2315 0.0000 1
Mg4 Mg 0.2477 0.0000 0.5000 1
Mg5 Mg 0.3333 0.6667 0.2528 1
Mg6 Mg 0.3333 0.6667 0.7472 1
Mg7 Mg 0.6667 0.3333 0.2528 1
Mg8 Mg 0.6667 0.3333 0.7472 1
Mg9 Mg 0.7523 0.7523 0.5000 1
Mg10 Mg 0.7685 0.0000 0.0000 1
Al1 Al 0.0000 0.6040 0.5000 1
Al2 Al 0.3960 0.3960 0.5000 1
Al3 Al 0.6040 0.0000 0.5000 1
```

For the formation energy, the calculation gives 0.006 eV/atom. The calculation puts the density at 1.7 g/cm3. The symmetry is P-62m. The calculation puts the energy at -2.051 eV per atom.

---

No. 5
DFT (PBE-GGA) results for Li3MgAl8 after structural relaxation.

The structure in CIF format:
```
data_Li3MgAl8
_chemical_formula_sum 'Li3 Mg1 Al8'
_cell_length_a 5.4223
_cell_length_b 5.4223
_cell_length_c 8.7682
_cell_angle_alpha 90.00
_cell_angle_beta 90.00
_cell_angle_gamma 120.00
_symmetry_space_group_name_H-M 'P 1'
_symmetry_Int_Tables_number 1
_symmetry_space_group_name_Hall 'P 1'
loop_
_atom_site_label
_atom_site_type_symbol
_atom_site_fract_x
_atom_site_fract_y
_atom_site_fract_z
_atom_site_occupancy
Li1 Li 0.0000 0.0000 0.0000 1
Li2 Li 0.0000 0.0000 0.3556 1
Li3 Li 0.3333 0.6667 0.8628 1
Mg1 Mg 0.3333 0.6667 0.4931 1
Al1 Al 0.0068 0.5034 0.1768 1
Al2 Al 0.3272 0.1636 0.6777 1
Al3 Al 0.4966 0.5034 0.1768 1
Al4 Al 0.4966 0.9932 0.1768 1
Al5 Al 0.6667 0.3333 0.4258 1
Al6 Al 0.6667 0.3333 0.9275 1
Al7 Al 0.8364 0.1636 0.6777 1
Al8 Al 0.8364 0.6728 0.6777 1
```

For the formation energy, the calculation gives -0.052 eV/atom. The calculation puts the density at 1.9 g/cm3. The symmetry is P3m1. The calculation puts the energy at -3.158 eV per atom.

---

No. 6
DFT (PBE-GGA) results for Li7Mg12Al after structural relaxation.

The structure in CIF format:
```
data_Li7Mg12Al
_chemical_formula_sum 'Li7 Mg12 Al1'
_cell_length_a 9.9349
_cell_length_b 9.9349
_cell_length_c 9.9349
_cell_angle_alpha 116.92
_cell_angle_beta 116.92
_cell_angle_gamma 116.92
_symmetry_space_group_name_H-M 'P 1'
_symmetry_Int_Tables_number 1
_symmetry_space_group_name_Hall 'P 1'
loop_
_atom_site_label
_atom_site_type_symbol
_atom_site_fract_x
_atom_site_fract_y
_atom_site_fract_z
_atom_site_occupancy
Li1 Li 0.0000 0.0000 0.0000 1
Li2 Li 0.1533 0.4097 0.3770 1
Li3 Li 0.3770 0.1533 0.4097 1
Li4 Li 0.4097 0.3770 0.1533 1
Li5 Li 0.5903 0.6230 0.8467 1
Li6 Li 0.6230 0.8467 0.5903 1
Li7 Li 0.8467 0.5903 0.6230 1
Mg1 Mg 0.0224 0.4195 0.5908 1
Mg2 Mg 0.0549 0.0846 0.4112 1
Mg3 Mg 0.0846 0.4112 0.0549 1
Mg4 Mg 0.4092 0.9776 0.5805 1
Mg5 Mg 0.4112 0.0549 0.0846 1
Mg6 Mg 0.4195 0.5908 0.0224 1
Mg7 Mg 0.5805 0.4092 0.9776 1
Mg8 Mg 0.5888 0.9451 0.9154 1
Mg9 Mg 0.5908 0.0224 0.4195 1
Mg10 Mg 0.9154 0.5888 0.9451 1
Mg11 Mg 0.9451 0.9154 0.5888 1
Mg12 Mg 0.9776 0.5805 0.4092 1
Al1 Al 0.5000 0.5000 0.5000 1
```

For the formation energy, the calculation gives 0.084 eV/atom. The calculation puts the density at 1.4 g/cm3. The symmetry is R-3. The calculation puts the energy at -1.730 eV per atom.

---

No. 7
DFT (PBE-GGA) results for LiMgAl2 after structural relaxation.

The structure in CIF format:
```
data_LiMgAl2
_chemical_formula_sum 'Li1 Mg1 Al2'
_cell_length_a 4.9766
_cell_length_b 4.9766
_cell_length_c 4.9766
_cell_angle_alpha 129.40
_cell_angle_beta 129.40
_cell_angle_gamma 74.37
_symmetry_space_group_name_H-M 'P 1'
_symmetry_Int_Tables_number 1
_symmetry_space_group_name_Hall 'P 1'
loop_
_atom_site_label
_atom_site_type_symbol
_atom_site_fract_x
_atom_site_fract_y
_atom_site_fract_z
_atom_site_occupancy
Li1 Li 0.0000 0.0000 0.0000 1
Mg1 Mg 0.2500 0.7500 0.5000 1
Al1 Al 0.5000 0.5000 0.0000 1
Al2 Al 0.7500 0.2500 0.5000 1
```

For the formation energy, the calculation gives -0.053 eV/atom. The calculation puts the density at 2.0 g/cm3. The symmetry is I-4m2. The calculation puts the energy at -2.802 eV per atom.

---

No. 8
DFT (PBE-GGA) results for Li4Mg5Al after structural relaxation.

The structure in CIF format:
```
data_Li4Mg5Al
_chemical_formula_sum 'Li4 Mg5 Al1'
_cell_length_a 7.7885
_cell_length_b 7.7885
_cell_length_c 8.5765
_cell_angle_alpha 101.76
_cell_angle_beta 101.76
_cell_angle_gamma 23.68
_symmetry_space_group_name_H-M 'P 1'
_symmetry_Int_Tables_number 1
_symmetry_space_group_name_Hall 'P 1'
loop_
_atom_site_label
_atom_site_type_symbol
_atom_site_fract_x
_atom_site_fract_y
_atom_site_fract_z
_atom_site_occupancy
Li1 Li 0.0427 0.0427 0.2766 1
Li2 Li 0.3201 0.3201 0.5885 1
Li3 Li 0.6799 0.6799 0.4115 1
Li4 Li 0.9573 0.9573 0.7234 1
Mg1 Mg 0.1436 0.1436 0.7058 1
Mg2 Mg 0.1877 0.1877 0.0967 1
Mg3 Mg 0.5000 0.5000 0.0000 1
Mg4 Mg 0.8123 0.8123 0.9033 1
Mg5 Mg 0.8564 0.8564 0.2942 1
Al1 Al 0.5000 0.5000 0.5000 1
```

For the formation energy, the calculation gives 0.006 eV/atom. The calculation puts the density at 1.4 g/cm3. Its excess energy over the best structure of this formula in the dataset is 0 meV/atom. The symmetry is C2/m. The calculation puts the energy at -1.931 eV per atom.

---

No. 9
DFT (PBE-GGA) results for LiMgAl5 after structural relaxation.

The structure in CIF format:
```
data_LiMgAl5
_chemical_formula_sum 'Li1 Mg1 Al5'
_cell_length_a 3.9215
_cell_length_b 3.9215
_cell_length_c 8.6422
_cell_angle_alpha 90.00
_cell_angle_beta 90.00
_cell_angle_gamma 90.00
_symmetry_space_group_name_H-M 'P 1'
_symmetry_Int_Tables_number 1
_symmetry_space_group_name_Hall 'P 1'
loop_
_atom_site_label
_atom_site_type_symbol
_atom_site_fract_x
_atom_site_fract_y
_atom_site_fract_z
_atom_site_occupancy
Li1 Li 0.0000 0.0000 0.0000 1
Mg1 Mg 0.5000 0.5000 0.5000 1
Al1 Al 0.0000 0.5000 0.2390 1
Al2 Al 0.0000 0.5000 0.7610 1
Al3 Al 0.5000 0.0000 0.2390 1
Al4 Al 0.5000 0.0000 0.7610 1
Al5 Al 0.5000 0.5000 0.0000 1
```

For the formation energy, the calculation gives 0.037 eV/atom. The calculation puts the density at 2.1 g/cm3. The symmetry is P4/mmm. The calculation puts the energy at -3.138 eV per atom.

---

No. 10
DFT (PBE-GGA) results for Li5Mg2Al2 after structural relaxation.

The structure in CIF format:
```
data_Li5Mg2Al2
_chemical_formula_sum 'Li10 Mg4 Al4'
_cell_length_a 8.8691
_cell_length_b 8.8691
_cell_length_c 8.8691
_cell_angle_alpha 87.39
_cell_angle_beta 100.61
_cell_angle_gamma 149.48
_symmetry_space_group_name_H-M 'P 1'
_symmetry_Int_Tables_number 1
_symmetry_space_group_name_Hall 'P 1'
loop_
_atom_site_label
_atom_site_type_symbol
_atom_site_fract_x
_atom_site_fract_y
_atom_site_fract_z
_atom_site_occupancy
Li1 Li 0.1721 0.0435 0.2156 1
Li2 Li 0.1721 0.4565 0.6287 1
Li3 Li 0.1795 0.2520 0.4275 1
Li4 Li 0.3086 0.6485 0.9543 1
Li5 Li 0.3086 0.8543 0.1601 1
Li6 Li 0.6943 0.1485 0.8399 1
Li7 Li 0.6943 0.3543 0.0457 1
Li8 Li 0.8245 0.7520 0.5725 1
Li9 Li 0.8279 0.5435 0.3713 1
Li10 Li 0.8279 0.9565 0.7844 1
Mg1 Mg 0.4469 0.2517 0.6952 1
Mg2 Mg 0.5008 0.0008 0.5000 1
Mg3 Mg 0.5008 0.5008 0.0000 1
Mg4 Mg 0.5564 0.7517 0.3048 1
Al1 Al 0.0550 0.6470 0.6992 1
Al2 Al 0.0550 0.8557 0.9080 1
Al3 Al 0.9478 0.1470 0.0920 1
Al4 Al 0.9478 0.3557 0.3008 1
```

For the formation energy, the calculation gives -0.035 eV/atom. The calculation puts the density at 1.3 g/cm3. The symmetry is Ima2. The calculation puts the energy at -2.284 eV per atom.

---

No. 11
DFT (PBE-GGA) results for Li3Mg6Al after structural relaxation.

The structure in CIF format:
```
data_Li3Mg6Al
_chemical_formula_sum 'Li6 Mg12 Al2'
_cell_length_a 9.5982
_cell_length_b 9.5982
_cell_length_c 5.3914
_cell_angle_alpha 90.00
_cell_angle_beta 90.00
_cell_angle_gamma 118.49
_symmetry_space_group_name_H-M 'P 1'
_symmetry_Int_Tables_number 1
_symmetry_space_group_name_Hall 'P 1'
loop_
_atom_site_label
_atom_site_type_symbol
_atom_site_fract_x
_atom_site_fract_y
_atom_site_fract_z
_atom_site_occupancy
Li1 Li 0.1132 0.8868 0.5000 1
Li2 Li 0.2342 0.4543 0.8268 1
Li3 Li 0.4543 0.2342 0.3268 1
Li4 Li 0.5457 0.7658 0.8268 1
Li5 Li 0.7658 0.5457 0.3268 1
Li6 Li 0.8868 0.1132 0.0000 1
Mg1 Mg 0.0504 0.4595 0.2629 1
Mg2 Mg 0.1182 0.2007 0.4517 1
Mg3 Mg 0.2007 0.1182 0.9517 1
Mg4 Mg 0.2108 0.7892 0.0521 1
Mg5 Mg 0.4417 0.5583 0.3297 1
Mg6 Mg 0.4595 0.0504 0.7629 1
Mg7 Mg 0.5405 0.9496 0.2629 1
Mg8 Mg 0.5583 0.4417 0.8297 1
Mg9 Mg 0.7892 0.2108 0.5521 1
Mg10 Mg 0.7993 0.8818 0.4517 1
Mg11 Mg 0.8818 0.7993 0.9517 1
Mg12 Mg 0.9496 0.5405 0.7629 1
Al1 Al 0.2808 0.7192 0.5541 1
Al2 Al 0.7192 0.2808 0.0541 1
```

For the formation energy, the calculation gives 0.024 eV/atom. The calculation puts the density at 1.5 g/cm3. Its excess energy over the best structure of this formula in the dataset is 63 meV/atom. The symmetry is Cmc2_1. The calculation puts the energy at -1.881 eV per atom.

---

What is the energy in the fourth record?
-2.051 eV per atom